[1]
# LiZnCdAu

Crystalline LiZnCdAu at its relaxed geometry (PBE, Alexandria).

Computed properties:
density of states at the Fermi level = 1.04 states/eV/f.u.
calculated density = 9563 kg/m³
energy of formation from the pure elements = -30.4 kJ/mol of atoms
total energy = -17.3 eV per cell

Unit cell a=4.6157 b=4.6157 c=6.2226 alpha=90.00 beta=90.00 gamma=90.00
Closest atoms and distances in Å follow each position.
Space group I-4m2 (No. 119)
One atom of each set of equivalent atoms:
1 Li 0.0000 0.0000 0.0000 (multiplicity 2)  4 Cd 2.78, 4 Au 2.78, 2 Zn 3.11
2 Zn 0.0000 0.0000 0.5000 (multiplicity 2)  4 Cd 2.78, 4 Au 2.78, 2 Li 3.11
3 Cd 0.0000 0.5000 0.2500 (multiplicity 2)  4 Li 2.78, 4 Zn 2.78, 2 Au 3.11
4 Au 0.0000 0.5000 0.7500 (multiplicity 2)  4 Li 2.78, 4 Zn 2.78, 2 Cd 3.11

***

[2]
# FeOsRh2

Crystalline FeOsRh2 at its relaxed geometry (PBE, Alexandria).

Computed properties:
density of states at the Fermi level = 5.05 states/eV/f.u.
calculated density = 13390 kg/m³
energy of formation from the pure elements = 21.4 kJ/mol of atoms
total energy = -67.0 eV per cell
energy relative to the lowest polymorph listed for this composition = 0.83 eV per formula unit

Unit cell a=2.7787 b=4.4160 c=9.1343 alpha=90.00 beta=90.00 gamma=90.00
Closest atoms and distances in Å follow each position.
Space group Imm2 (No. 44)
One atom of each set of equivalent atoms:
1 Fe 0.0000 0.0000 0.0000 (multiplicity 2)  2 Os 2.45, 6 Rh 2.50-2.61
2 Os 0.0000 0.5000 0.7210 (multiplicity 2)  2 Fe 2.45, 4 Rh 2.65
3 Rh 0.0000 0.0000 0.4875 (multiplicity 2)  4 Fe 2.61, 2 Rh 2.78, 2 Os 2.80
4 Rh 0.0000 0.5000 0.2722 (multiplicity 2)  2 Fe 2.50, 4 Os 2.65, 2 Rh 2.78

***

[3]
# NdHgS2

Crystalline NdHgS2 at its relaxed geometry (PBE, Alexandria).

Computed properties:
density of states at the Fermi level = 3.43 states/eV/f.u.
calculated density = 6420 kg/m³
total energy = -52.9 eV per cell
formation energy without anion corrections = -1.07 eV/atom
energy relative to the lowest polymorph listed for this composition = 0.00 eV per formula unit

Unit cell a=4.1856 b=4.1856 c=20.9140 alpha=90.00 beta=90.00 gamma=120.00
Closest atoms and distances in Å follow each position.
Space group R3m (No. 160, hexagonal axes)
One atom of each set of equivalent atoms:
1 Nd 0.0000 0.0000 0.0000 (multiplicity 3)  6 S 2.82-2.87
2 Hg 0.0000 0.0000 0.8326 (multiplicity 3)  6 S 3.08-3.17
3 S 0.0000 0.0000 0.4077 (multiplicity 3)  3 Nd 2.87, 3 Hg 3.08
4 S 0.0000 0.0000 0.5972 (multiplicity 3)  3 Nd 2.82

***

[4]
# Sc2InAgC

Crystalline Sc2InAgC at its relaxed geometry (PBE, Alexandria).

Computed properties:
density of states at the Fermi level = 2.91 states/eV/f.u.
calculated density = 5880 kg/m³
energy of formation from the pure elements = -21.6 kJ/mol of atoms
total energy = -28.6 eV per cell

Unit cell a=4.4974 b=4.4974 c=4.5319 alpha=90.00 beta=90.00 gamma=90.00
Closest atoms and distances in Å follow each position.
Space group P4/mmm (No. 123)
One atom of each set of equivalent atoms:
1 Sc 0.0000 0.5000 0.0000 (multiplicity 2)  2 C 2.25
2 In 0.0000 0.0000 0.5000 (multiplicity 1)  4 Ag 3.18, 8 Sc 3.19
3 Ag 0.5000 0.5000 0.5000 (multiplicity 1)  2 C 2.27
4 C 0.5000 0.5000 0.0000 (multiplicity 1)  4 Sc 2.25, 2 Ag 2.27